Here is a relaxed La4Nd2Y5 crystal from Alexandria via LeMat-Bulk. Energies are from PBE.

```
La4Nd2Y5
1.0
-3.159 1.425 0.841
-4.085 -6.575 -4.199
5.081 -1.341 13.791
La Nd Y
4 2 5
Direct
0.589 0.480 0.178 La
0.041 0.738 0.081 La
0.411 0.520 0.822 La
0.959 0.262 0.919 La
0.726 0.625 0.452 Nd
0.274 0.375 0.548 Nd
0.187 0.905 0.375 Y
0.813 0.095 0.625 Y
0.132 0.211 0.264 Y
0.500 0.000 0.000 Y
0.868 0.789 0.736 Y
```

Computed properties:
Energy of formation from the pure elements in eV/atom: 0.11
E above lowest polymorph in meV per atom: 34
Symmetry: C2/m, No. 12
Uncorrected energy in eV per cell: -60.308

Here is a relaxed CaTc2Te crystal from Alexandria via LeMat-Bulk. Energies are from PBE.

```
CaTc2Te
1.0
3.147 0.001 0.000
-1.246 2.890 0.000
0.000 0.000 8.842
Ca Te Tc
1 1 2
Direct
0.500 0.500 0.750 Ca
0.500 0.500 0.250 Te
0.000 0.000 0.028 Tc
0.000 0.000 0.472 Tc
```

Computed properties:
Symmetry: Cmmm, No. 65
Formation energy from raw total energies in kJ/mol of formula units: 308.4
Uncorrected energy in eV per cell: -22.679

Here is a relaxed Ba2As4Rh3 crystal from Alexandria via LeMat-Bulk. Energies are from PBE.

```
Ba2As4Rh3
1.0
5.884 -0.064 0.000
-2.791 5.180 0.000
-1.546 -2.558 7.114
Ba As Rh
2 4 3
Direct
0.645 0.645 0.291 Ba
0.355 0.355 0.709 Ba
0.037 0.708 0.745 As
0.708 0.037 0.745 As
0.963 0.292 0.255 As
0.292 0.963 0.255 As
0.500 0.000 0.000 Rh
0.000 0.000 0.000 Rh
0.000 0.500 0.000 Rh
```

Computed properties:
Energy of formation from the pure elements in eV/atom: -0.71
Symmetry: Fmmm, No. 69
Uncorrected energy in eV per cell: -50.864

Here is a relaxed ThH7Pd5 crystal from Alexandria via LeMat-Bulk. Energies are from PBE.

```
ThH7Pd5
1.0
5.498 0.796 3.116
4.451 5.527 0.407
1.850 -1.296 6.739
Th H Pd
1 7 5
Direct
0.028 0.118 0.118 Th
0.126 0.596 0.596 H
0.541 0.619 0.619 H
0.918 0.239 0.808 H
0.918 0.808 0.239 H
0.477 0.246 0.246 H
0.520 0.856 0.165 H
0.520 0.165 0.856 H
0.558 0.791 0.405 Pd
0.002 0.812 0.431 Pd
0.558 0.405 0.791 Pd
0.002 0.431 0.812 Pd
0.831 0.914 0.914 Pd
```

Computed properties:
Symmetry: Cm, No. 8
Uncorrected energy in eV per cell: -59.788

Here is a relaxed SrTlZn crystal from Alexandria via LeMat-Bulk. Energies are from PBE.

```
SrTlZn
1.0
-3.848 -2.753 -1.824
-1.597 -4.103 2.515
-4.494 0.056 2.348
Sr Tl Zn
1 1 1
Direct
0.000 0.000 0.000 Sr
0.500 0.500 0.500 Tl
0.750 0.750 0.750 Zn
```

Computed properties:
Energy of formation from the pure elements in eV/atom: -0.16
Symmetry: F-43m, No. 216
Uncorrected energy in eV per cell: -5.810

Here is a relaxed YBO crystal from Alexandria via LeMat-Bulk. Energies are from PBE.

```
YBO
1.0
3.445 0.000 0.000
-1.722 2.983 0.000
0.000 0.000 24.802
Y B O
6 6 6
Direct
0.000 0.000 0.924 Y
0.333 0.667 0.591 Y
0.667 0.333 0.258 Y
0.000 0.000 0.093 Y
0.333 0.667 0.760 Y
0.667 0.333 0.426 Y
0.000 0.000 0.343 B
0.333 0.667 0.009 B
0.667 0.333 0.676 B
0.000 0.000 0.676 B
0.333 0.667 0.343 B
0.667 0.333 0.009 B
0.000 0.000 0.559 O
0.333 0.667 0.226 O
0.667 0.333 0.892 O
0.000 0.000 0.793 O
0.333 0.667 0.460 O
0.667 0.333 0.127 O
```

Computed properties:
E above lowest polymorph in meV per atom: 69
Symmetry: R3m, No. 160
Formation energy from raw total energies in kJ/mol of formula units: -522.8
Uncorrected energy in eV per cell: -141.111

Here is a relaxed FeTe3Pt crystal from Alexandria via LeMat-Bulk. Energies are from PBE.

```
FeTe3Pt
1.0
4.906 0.000 0.000
0.000 4.906 0.000
0.000 0.000 4.906
Te Fe Pt
3 1 1
Direct
0.000 0.500 0.000 Te
0.000 0.000 0.500 Te
0.500 0.000 0.000 Te
0.000 0.000 0.000 Fe
0.500 0.500 0.500 Pt
```

Computed properties:
Symmetry: Pm-3m, No. 221
Formation energy from raw total energies in kJ/mol of formula units: 360.6
Uncorrected energy in eV per cell: -20.191

Here is a relaxed Cs5Nd2O5 crystal from Alexandria via LeMat-Bulk. Energies are from PBE.

```
Cs5Nd2O5
1.0
0.122 3.939 1.304
-4.237 -1.103 10.338
5.276 -3.113 15.517
Cs Nd O
5 2 5
Direct
0.500 0.500 0.500 Cs
0.389 0.253 0.970 Cs
0.339 0.006 0.317 Cs
0.661 0.994 0.683 Cs
0.611 0.747 0.030 Cs
0.991 0.226 0.792 Nd
0.009 0.774 0.208 Nd
0.922 0.872 0.285 O
0.449 0.355 0.747 O
0.551 0.645 0.253 O
0.078 0.128 0.715 O
0.000 0.000 0.000 O
```

Computed properties:
Symmetry: C2/m, No. 12
Formation energy from raw total energies in kJ/mol of formula units: -2120.1
Uncorrected energy in eV per cell: -60.568

Here is a relaxed ThAgAs2 crystal from Alexandria via LeMat-Bulk. Energies are from PBE.

```
ThAgAs2
1.0
-3.033 -1.174 2.158
-0.381 -3.898 -2.656
2.954 -2.275 2.915
As Ag Th
2 1 1
Direct
0.000 0.000 0.500 As
0.000 0.500 0.000 As
0.500 0.000 0.000 Ag
0.500 0.500 0.500 Th
```

Computed properties:
Energy of formation from the pure elements in eV/atom: -0.65
Symmetry: P4/mmm, No. 123
Uncorrected energy in eV per cell: -22.163

Here is a relaxed ScAsP crystal from Alexandria via LeMat-Bulk. Energies are from PBE.

```
ScAsP
1.0
6.797 3.173 -0.057
4.109 6.210 0.905
-5.229 -5.135 1.600
Sc As P
1 1 1
Direct
0.327 0.327 0.000 Sc
0.970 0.970 0.000 As
0.703 0.703 0.000 P
```

Computed properties:
Energy of formation from the pure elements in eV/atom: -0.33
E above lowest polymorph in meV per atom: 367
Symmetry: I4mm, No. 107
Uncorrected energy in eV per cell: -17.395

Here is a relaxed NbSi2Ni9 crystal from Alexandria via LeMat-Bulk. Energies are from PBE.

```
NbSi2Ni9
1.0
-1.962 -2.916 0.688
0.982 -1.403 -3.146
8.395 -4.551 4.651
Nb Si Ni
1 2 9
Direct
0.000 0.000 0.000 Nb
0.000 0.000 0.342 Si
0.000 0.000 0.658 Si
0.500 0.500 0.000 Ni
0.500 0.500 0.338 Ni
0.500 0.500 0.662 Ni
0.500 0.000 0.176 Ni
0.500 0.000 0.500 Ni
0.500 0.000 0.824 Ni
0.000 0.500 0.176 Ni
0.000 0.500 0.500 Ni
0.000 0.500 0.824 Ni
```

Computed properties:
Symmetry: P4/mmm, No. 123
Formation energy from raw total energies in kJ/mol of formula units: -442.7
Uncorrected energy in eV per cell: -77.536

Here is a relaxed ZrSbAs2 crystal from Alexandria via LeMat-Bulk. Energies are from PBE.

```
ZrSbAs2
1.0
5.121 0.006 0.009
3.929 3.285 0.009
0.392 0.143 5.346
Sb As Zr
1 2 1
Direct
0.250 0.250 0.250 Sb
0.029 0.029 0.926 As
0.471 0.471 0.574 As
0.750 0.750 0.750 Zr
```

Computed properties:
Symmetry: C2/m, No. 12
Formation energy from raw total energies in kJ/mol of formula units: -108.4
Uncorrected energy in eV per cell: -23.093

Here is a relaxed MnZn2 crystal from Alexandria via LeMat-Bulk. Energies are from PBE.

```
MnZn2
1.0
-0.969 1.136 3.482
3.394 -2.916 3.957
2.672 2.855 -0.188
Mn Zn
2 4
Direct
0.916 0.167 0.250 Mn
0.084 0.833 0.750 Mn
0.583 0.835 0.250 Zn
0.417 0.165 0.750 Zn
0.246 0.508 0.250 Zn
0.754 0.492 0.750 Zn
```

Computed properties:
Energy of formation from the pure elements in eV/atom: 0.04
Symmetry: Cmcm, No. 63
Uncorrected energy in eV per cell: -23.206

Here is a relaxed CeBe2BRu2 crystal from Alexandria via LeMat-Bulk. Energies are from PBE.

```
CeBe2BRu2
1.0
4.104 0.000 0.000
0.000 4.104 0.000
0.000 0.000 5.173
Ce Be B Ru
1 2 1 2
Direct
0.000 0.000 0.500 Ce
0.500 0.500 0.765 Be
0.500 0.500 0.235 Be
0.000 0.000 0.000 B
0.500 0.000 0.000 Ru
0.000 0.500 0.000 Ru
```

Computed properties:
Energy of formation from the pure elements in eV/atom: -0.36
Symmetry: P4/mmm, No. 123
Uncorrected energy in eV per cell: -40.759

Here is a relaxed ZrTaNbV crystal from Alexandria via LeMat-Bulk. Energies are from PBE.

```
ZrTaNbV
1.0
4.694 0.000 0.000
2.347 4.065 0.000
2.347 1.355 3.833
Nb V Zr Ta
1 1 1 1
Direct
0.000 0.000 0.000 Nb
0.500 0.500 0.500 V
0.250 0.250 0.250 Zr
0.750 0.750 0.750 Ta
```

Computed properties:
Energy of formation from the pure elements in eV/atom: 0.12
Symmetry: F-43m, No. 216
Uncorrected energy in eV per cell: -39.094

Here is a relaxed Tb4Zn2Cd crystal from Alexandria via LeMat-Bulk. Energies are from PBE.

```
Tb4Zn2Cd
1.0
0.770 2.612 4.310
2.663 -2.095 3.809
7.996 3.256 -0.387
Tb Zn Cd
4 2 1
Direct
0.869 0.869 0.394 Tb
0.131 0.131 0.606 Tb
0.616 0.616 0.153 Tb
0.384 0.384 0.847 Tb
0.745 0.745 0.764 Zn
0.255 0.255 0.236 Zn
0.000 0.000 0.000 Cd
```

Computed properties:
Energy of formation from the pure elements in eV/atom: -0.18
E above lowest polymorph in meV per atom: 0
Symmetry: R-3m, No. 166
Uncorrected energy in eV per cell: -23.225

Here is a relaxed AlFe5B2 crystal from Alexandria via LeMat-Bulk. Energies are from PBE.

```
AlFe5B2
1.0
2.826 0.000 0.000
1.413 5.869 0.931
1.413 2.653 5.317
Al Fe B
1 5 2
Direct
0.000 0.000 0.000 Al
0.000 0.500 0.500 Fe
0.648 0.600 0.103 Fe
0.352 0.400 0.897 Fe
0.352 0.897 0.400 Fe
0.648 0.103 0.600 Fe
0.792 0.708 0.708 B
0.208 0.292 0.292 B
```

Computed properties:
Energy of formation from the pure elements in eV/atom: -0.21
Symmetry: Immm, No. 71
Uncorrected energy in eV per cell: -61.069

Here is a relaxed HfTcRu2C crystal from Alexandria via LeMat-Bulk. Energies are from PBE.

```
HfTcRu2C
1.0
-1.301 1.906 3.370
-0.600 -3.612 1.811
3.877 0.083 1.450
Ru C Hf Tc
2 1 1 1
Direct
0.000 0.500 0.000 Ru
0.500 0.000 0.000 Ru
0.000 0.000 0.000 C
0.500 0.500 0.500 Hf
0.000 0.000 0.500 Tc
```

Computed properties:
Energy of formation from the pure elements in eV/atom: -0.33
Symmetry: P4/mmm, No. 123
Uncorrected energy in eV per cell: -49.725

Here is a relaxed YEr3Sb4 crystal from Alexandria via LeMat-Bulk. Energies are from PBE.

```
YEr3Sb4
1.0
6.166 0.000 0.000
0.000 6.166 0.000
0.000 0.000 6.166
Y Er Sb
1 3 4
Direct
0.000 0.000 0.000 Y
0.000 0.500 0.500 Er
0.500 0.000 0.500 Er
0.500 0.500 0.000 Er
0.500 0.000 0.000 Sb
0.000 0.500 0.000 Sb
0.000 0.000 0.500 Sb
0.500 0.500 0.500 Sb
```

Computed properties:
Symmetry: Pm-3m, No. 221
Formation energy from raw total energies in kJ/mol of formula units: -862.0
Uncorrected energy in eV per cell: -45.576

Here is a relaxed Nd6Tc2Hg crystal from Alexandria via LeMat-Bulk. Energies are from PBE.

```
Nd6Tc2Hg
1.0
-6.256 3.330 -5.202
-3.361 -5.445 6.027
4.036 6.449 4.404
Nd Tc Hg
12 4 2
Direct
0.524 0.713 0.810 Nd
0.476 0.287 0.190 Nd
0.097 0.287 0.810 Nd
0.903 0.713 0.190 Nd
0.786 0.775 0.561 Nd
0.214 0.225 0.439 Nd
0.214 0.775 0.989 Nd
0.786 0.225 0.011 Nd
0.712 0.397 0.685 Nd
0.288 0.603 0.315 Nd
0.288 0.973 0.685 Nd
0.712 0.027 0.315 Nd
0.500 0.387 0.887 Tc
0.500 0.613 0.113 Tc
0.619 0.000 0.619 Tc
0.381 0.000 0.381 Tc
0.000 0.500 0.500 Hg
0.000 0.000 0.000 Hg
```

Computed properties:
Energy of formation from the pure elements in eV/atom: -0.08
Symmetry: Immm, No. 71
Uncorrected energy in eV per cell: -100.732

Here is a relaxed Er4Pd7Pt crystal from Alexandria via LeMat-Bulk. Energies are from PBE.

```
Er4Pd7Pt
1.0
-0.799 2.508 5.085
0.357 -6.372 4.929
4.660 1.790 1.173
Er Pd Pt
4 7 1
Direct
0.623 0.184 0.446 Er
0.377 0.816 0.554 Er
0.834 0.684 0.957 Er
0.166 0.316 0.043 Er
0.889 0.849 0.485 Pd
0.111 0.151 0.515 Pd
0.323 0.660 0.041 Pd
0.677 0.340 0.959 Pd
0.245 0.488 0.534 Pd
0.500 0.000 0.000 Pd
0.755 0.512 0.466 Pd
0.000 0.000 0.000 Pt
```

Computed properties:
Energy of formation from the pure elements in eV/atom: -0.91
Symmetry: P-1, No. 2
Uncorrected energy in eV per cell: -71.596

Here is a relaxed Re5Rh crystal from Alexandria via LeMat-Bulk. Energies are from PBE.

```
Re5Rh
1.0
2.754 0.000 0.000
0.000 2.754 0.000
0.000 0.000 11.781
Re Rh
5 1
Direct
0.000 0.000 0.833 Re
0.000 0.000 0.167 Re
0.500 0.500 0.669 Re
0.500 0.500 0.331 Re
0.000 0.000 0.500 Re
0.500 0.500 0.000 Rh
```

Computed properties:
Energy of formation from the pure elements in eV/atom: 0.03
E above lowest polymorph in meV per atom: 94
Symmetry: P4/mmm, No. 123
Uncorrected energy in eV per cell: -69.428

Here is a relaxed ZrPtAu2 crystal from Alexandria via LeMat-Bulk. Energies are from PBE.

```
ZrPtAu2
1.0
9.695 0.032 0.019
9.225 2.983 0.019
9.225 1.470 2.596
Au Pt Zr
2 1 1
Direct
0.001 0.001 0.001 Au
0.249 0.249 0.249 Au
0.498 0.498 0.498 Pt
0.752 0.752 0.752 Zr
```

Computed properties:
Energy of formation from the pure elements in eV/atom: -0.25
Symmetry: R3m, No. 160
Uncorrected energy in eV per cell: -22.131

Here is a relaxed NaCu2Re crystal from Alexandria via LeMat-Bulk. Energies are from PBE.

```
NaCu2Re
1.0
1.392 -3.509 2.221
1.637 0.470 4.036
-2.263 -1.440 3.463
Re Cu Na
1 2 1
Direct
0.500 0.500 0.500 Re
0.250 0.250 0.250 Cu
0.750 0.750 0.750 Cu
0.000 0.000 0.000 Na
```

Computed properties:
Energy of formation from the pure elements in eV/atom: 0.89
E above lowest polymorph in meV per atom: 0
Symmetry: Fm-3m, No. 225
Uncorrected energy in eV per cell: -18.390

Here is a relaxed Ti2NbTl crystal from Alexandria via LeMat-Bulk. Energies are from PBE.

```
Ti2NbTl
1.0
-1.364 0.325 4.481
-2.051 3.929 1.551
-4.572 -0.002 1.068
Tl Nb Ti
1 1 2
Direct
0.500 0.500 0.500 Tl
0.000 0.000 0.000 Nb
0.250 0.250 0.250 Ti
0.750 0.750 0.750 Ti
```

Computed properties:
Energy of formation from the pure elements in eV/atom: 0.06
E above lowest polymorph in meV per atom: 93
Symmetry: Fm-3m, No. 225
Uncorrected energy in eV per cell: -27.997

| no. | magnetization (μB/atom) |
| --- | --- |
| 1 | 0.0000 |
| 2 | 0.0001 |
| 3 | 0.0003 |
| 4 | 0.0000 |
| 5 | 0.0001 |
| 6 | 0.0000 |
| 7 | 0.0000 |
| 8 | 0.0000 |
| 9 | 0.0000 |
| 10 | 0.0000 |
| 11 | 0.0000 |
| 12 | 0.0000 |
| 13 | 1.0591 |
| 14 | 0.0816 |
| 15 | 0.3742 |
| 16 | 0.0002 |
| 17 | 0.9448 |
| 18 | 0.0000 |
| 19 | 0.0000 |
| 20 | 0.0000 |
| 21 | 0.0000 |
| 22 | 0.0000 |
| 23 | 0.0000 |
| 24 | 0.4991 |
| 25 | 0.0000 |